[1]
# LuSiNiMo, optimized geometry, DFT PBE-GGA
# Calculated total energy in eV/cell: -99.3
# Density in Mg/m³: 9.10
data_LuSiNiMo
_chemical_formula_sum 'Lu4 Si4 Ni4 Mo4'
_cell_length_a 6.3913
_cell_length_b 6.3913
_cell_length_c 6.3913
_cell_angle_alpha 90.00
_cell_angle_beta 90.00
_cell_angle_gamma 90.00
_symmetry_space_group_name_H-M 'F -4 3 m'
_symmetry_Int_Tables_number 216
_symmetry_space_group_name_Hall 'F -4 2 3'
loop_
_atom_site_label
_atom_site_type_symbol
_atom_site_fract_x
_atom_site_fract_y
_atom_site_fract_z
Lu1 Lu 0.0000 0.0000 0.0000
Si1 Si 0.2500 0.2500 0.2500
Ni1 Ni 0.0000 0.0000 0.5000
Mo1 Mo 0.2500 0.2500 0.7500

***

[2]
# HfTlCoCu, optimized geometry, DFT PBE-GGA
# Calculated total energy in eV/cell: -91.8
# Density in Mg/m³: 12.99
data_HfTlCoCu
_chemical_formula_sum 'Hf4 Tl4 Co4 Cu4'
_cell_length_a 6.3686
_cell_length_b 6.3686
_cell_length_c 6.3686
_cell_angle_alpha 90.00
_cell_angle_beta 90.00
_cell_angle_gamma 90.00
_symmetry_space_group_name_H-M 'F -4 3 m'
_symmetry_Int_Tables_number 216
_symmetry_space_group_name_Hall 'F -4 2 3'
loop_
_atom_site_label
_atom_site_type_symbol
_atom_site_fract_x
_atom_site_fract_y
_atom_site_fract_z
Hf1 Hf 0.0000 0.0000 0.0000
Tl1 Tl 0.0000 0.0000 0.5000
Co1 Co 0.2500 0.2500 0.7500
Cu1 Cu 0.2500 0.2500 0.2500

***

Question: calculated total energy of number 2 (HfTlCoCu)?
Answer: -91.8 eV/cell